# Fe2SiPt (GGA-PBE, optimized geometry)
# M_tot	5.06	Bohr magnetons per cell
# formation energy (no corrections)	-0.308	eV per atom
# volume	12.9	Å³/atom
# electronic total energy	-7.405	eV/atom
data_Fe2SiPt
_chemical_formula_sum 'Fe2 Si1 Pt1'
_space_group_name_H-M_alt 'P 1'
_space_group_IT_number 1
_cell_length_a 4.740
_cell_length_b 4.740
_cell_length_c 4.740
_cell_angle_alpha 137.15
_cell_angle_beta 133.85
_cell_angle_gamma 64.79
loop_
_space_group_symop_operation_xyz
'x,y,z'
loop_
_atom_site_label
_atom_site_type_symbol
_atom_site_fract_x
_atom_site_fract_y
_atom_site_fract_z
Si1 Si 0.250 0.750 0.500
Pt1 Pt 0.750 0.250 0.500
Fe1 Fe 0.495 0.495 0.000
Fe2 Fe 0.005 0.005 0.000

---

# KCa3Si (GGA-PBE, optimized geometry)
# M_tot	0.84	Bohr magnetons per cell
# formation energy (no corrections)	-0.085	eV per atom
# volume	41.0	Å³/atom
# relative energy among the computed polymorphs	0	meV per atom
# electronic total energy	-2.590	eV/atom
data_KCa3Si
_chemical_formula_sum 'K1 Ca3 Si1'
_space_group_name_H-M_alt 'P 1'
_space_group_IT_number 1
_cell_length_a 5.896
_cell_length_b 5.896
_cell_length_c 5.896
_cell_angle_alpha 90.00
_cell_angle_beta 90.00
_cell_angle_gamma 90.00
loop_
_space_group_symop_operation_xyz
'x,y,z'
loop_
_atom_site_label
_atom_site_type_symbol
_atom_site_fract_x
_atom_site_fract_y
_atom_site_fract_z
K1 K 0.500 0.500 0.500
Ca1 Ca 0.000 0.000 0.500
Si1 Si 0.000 0.000 0.000
Ca2 Ca 0.000 0.500 0.000
Ca3 Ca 0.500 0.000 0.000